A plane-wave DFT calculation with PBE-GGA was carried out for a relaxed V2Co4Ni crystal.

Lattice parameters (Å, degrees): 4.802 4.802 8.283 90.00 90.00 59.02
Element x y z (fractional)
V  0.164  0.164  0.000
V  0.336  0.336  0.500
V  0.664  0.664  0.500
V  0.836  0.836  0.000
Co  0.076  0.424  0.750
Co  0.113  0.887  0.780
Co  0.387  0.613  0.280
Co  0.424  0.076  0.250
Co  0.576  0.924  0.750
Co  0.613  0.387  0.720
Co  0.887  0.113  0.220
Co  0.924  0.576  0.250
Ni  0.000  0.000  0.500
Ni  0.500  0.500  0.000

Properties
Energy   -103.25 eV per cell
Formation energy from the elements   0.116 eV per atom
Symmetry   Cmce
Magnetization   0.000 μB per atom
Energy above the lowest structure with this stoichiometry   54 meV/atom